An optimized crystal structure of ZrCo2Au. Source: Alexandria, functional PBE.

Cell lengths 4.911, 4.911, 4.911 Å; angles 134.10, 134.10, 66.93 degrees
Site moments in Bohr magnetons follow the coordinates.
Element x y z (fractional)
Au1 0.750 0.250 0.500  -0.01
Co1 0.000 0.000 0.000  1.07
Co2 0.250 0.750 0.500  0.99
Zr1 0.500 0.500 0.000  -0.24

uncorrected energy: -0.491 Ry/atom
N(E_F): 3.61 states/eV/f.u.
magnetization: 1.66 μB/f.u.
ΔH_f (0 K): -0.178 eV/atom

***

An optimized crystal structure of SrGeTeI2. Source: Alexandria, functional PBE.

Cell lengths 6.118, 6.118, 6.507 Å; angles 90.00, 90.00, 90.00 degrees
Element x y z (fractional)
I1 0.000 0.500 0.000
I2 0.500 0.000 0.000
Sr1 0.000 0.000 0.000
Ge1 0.500 0.500 0.500
Te1 0.000 0.000 0.500

uncorrected energy: -0.191 Ry/atom
N(E_F): 3.56 states/eV/f.u.
uncorrected formation energy: -0.095 eV/atom
magnetization: 0.00 μB/f.u.

***

An optimized crystal structure of ZnCr2Sn2. Source: Alexandria, functional PBE.

Cell lengths 6.619, 6.619, 3.981 Å; angles 90.00, 90.00, 90.00 degrees
Site moments in Bohr magnetons follow the coordinates.
Element x y z (fractional)
Cr1 0.367 0.867 0.000  1.65
Cr2 0.867 0.633 0.000  1.65
Cr3 0.633 0.133 0.000  1.65
Cr4 0.133 0.367 0.000  1.65
Zn1 0.000 0.000 0.000  -0.03
Zn2 0.500 0.500 0.000  -0.03
Sn1 0.168 0.668 0.500  -0.08
Sn2 0.668 0.832 0.500  -0.08
Sn3 0.832 0.332 0.500  -0.08
Sn4 0.332 0.168 0.500  -0.08

uncorrected energy: -0.398 Ry/atom
N(E_F): 4.00 states/eV/f.u.
magnetization: 3.22 μB/f.u.
ΔH_f (0 K): 0.295 eV/atom

***

An optimized crystal structure of CaTaInPb2. Source: Alexandria, functional PBE.

Cell lengths 5.600, 5.725, 5.600 Å; angles 90.00, 90.00, 90.00 degrees
Site moments in Bohr magnetons follow the coordinates.
Element x y z (fractional)
Pb1 0.000 0.000 0.500  -0.02
Pb2 0.500 0.000 0.000  -0.02
Ca1 0.000 0.500 0.000  0.01
In1 0.000 0.000 0.000  -0.02
Ta1 0.500 0.500 0.500  2.02

uncorrected energy: -0.258 Ry/atom
N(E_F): 5.44 states/eV/f.u.
magnetization: 3.10 μB/f.u.
ΔH_f (0 K): 1.293 eV/atom

***

An optimized crystal structure of KVSi. Source: Alexandria, functional PBE.

Cell lengths 4.168, 4.168, 11.282 Å; angles 88.23, 87.80, 60.03 degrees
Element x y z (fractional)
K1 0.693 0.680 0.687
K2 0.307 0.320 0.313
Si1 0.991 0.996 0.103
Si2 0.009 0.004 0.897
V1 0.665 0.666 0.019
V2 0.335 0.334 0.981

uncorrected energy: -0.379 Ry/atom
N(E_F): 3.16 states/eV/f.u.
uncorrected formation energy: 0.062 eV/atom
magnetization: 0.00 μB/f.u.

***

An optimized crystal structure of InSiHg2. Source: Alexandria, functional PBE.

Cell lengths 4.248, 4.946, 4.962 Å; angles 71.34, 90.00, 90.00 degrees
Element x y z (fractional)
Hg1 0.000 0.964 0.964
Hg2 0.000 0.536 0.536
In1 0.500 0.250 0.250
Si1 0.500 0.750 0.750

uncorrected energy: -0.143 Ry/atom
N(E_F): 1.20 states/eV/f.u.
uncorrected formation energy: 0.249 eV/atom
magnetization: 0.00 μB/f.u.

***

An optimized crystal structure of CaFeMo2. Source: Alexandria, functional PBE.

Cell lengths 4.833, 3.801, 3.801 Å; angles 90.00, 90.00, 90.00 degrees
Site moments in Bohr magnetons follow the coordinates.
Element x y z (fractional)
Mo1 0.000 0.000 0.000  0.01
Mo2 0.000 0.500 0.500  0.01
Ca1 0.500 0.500 0.000  -0.05
Fe1 0.500 0.000 0.500  2.38

uncorrected energy: -0.531 Ry/atom
N(E_F): 6.33 states/eV/f.u.
magnetization: 2.30 μB/f.u.
ΔH_f (0 K): 0.811 eV/atom

***

An optimized crystal structure of HoPaPtRh. Source: Alexandria, functional PBE.

Cell lengths 3.696, 4.251, 5.803 Å; angles 90.00, 108.57, 90.00 degrees
Element x y z (fractional)
Ho1 0.143 0.000 0.285
Pa1 0.867 0.500 0.735
Pt1 0.590 0.500 0.179
Rh1 0.401 0.000 0.801

uncorrected energy: -0.580 Ry/atom
N(E_F): 4.19 states/eV/f.u.
magnetization: 0.00 μB/f.u.
ΔH_f (0 K): -1.022 eV/atom

***

An optimized crystal structure of DyHgBi. Source: Alexandria, functional PBE.

Cell lengths 4.270, 4.270, 5.603 Å; angles 112.40, 112.40, 90.00 degrees
Element x y z (fractional)
Hg1 0.615 0.615 0.230
Bi1 0.944 0.944 0.887
Dy1 0.291 0.291 0.583

uncorrected energy: -0.243 Ry/atom
N(E_F): 1.35 states/eV/f.u.
magnetization: 0.00 μB/f.u.
ΔH_f (0 K): -0.378 eV/atom

***

An optimized crystal structure of Sm4GaBr5. Source: Alexandria, functional PBE.

Cell lengths 4.157, 8.577, 9.544 Å; angles 102.44, 102.58, 90.00 degrees
Element x y z (fractional)
Sm1 0.347 0.920 0.693
Sm2 0.999 0.770 0.999
Sm3 0.653 0.080 0.307
Sm4 0.001 0.230 0.001
Ga1 0.500 0.000 0.000
Br1 0.833 0.670 0.666
Br2 0.828 0.162 0.657
Br3 0.172 0.838 0.343
Br4 0.500 0.500 0.000
Br5 0.167 0.330 0.334

uncorrected energy: -0.327 Ry/atom
N(E_F): 4.48 states/eV/f.u.
uncorrected formation energy: -1.418 eV/atom
magnetization: 0.00 μB/f.u.

***

An optimized crystal structure of Sc2CuSe. Source: Alexandria, functional PBE.

Cell lengths 3.716, 3.716, 7.080 Å; angles 74.78, 74.78, 60.00 degrees
Element x y z (fractional)
Sc1 0.079 0.079 0.762
Sc2 0.254 0.254 0.238
Cu1 0.667 0.667 0.998
Se1 0.499 0.499 0.503

uncorrected energy: -0.429 Ry/atom
N(E_F): 3.26 states/eV/f.u.
uncorrected formation energy: -0.775 eV/atom
magnetization: 0.00 μB/f.u.

***

An optimized crystal structure of LiNdEuMg. Source: Alexandria, functional PBE.

Cell lengths 5.570, 5.570, 5.570 Å; angles 60.00, 60.00, 60.00 degrees
Site moments in Bohr magnetons follow the coordinates.
Element x y z (fractional)
Eu1 0.750 0.750 0.750  -6.90
Mg1 0.500 0.500 0.500  0.00
Nd1 0.250 0.250 0.250  -0.11
Li1 0.000 0.000 0.000  -0.01

uncorrected energy: -0.339 Ry/atom
N(E_F): 9.64 states/eV/f.u.
magnetization: 7.61 μB/f.u.
ΔH_f (0 K): 0.028 eV/atom